*P*
Material: Tb12Pr7Ho
Method: DFT, PBE-GGA
State: relaxed

Results
- Calculated volume: 37.089 Å³ per atom
- Total moment: 0.000 μB/atom

```
data_Tb12Pr7Ho
_chemical_formula_sum 'Tb24 Pr14 Ho2'
_cell_length_a 11.4052
_cell_length_b 11.4052
_cell_length_c 11.4052
_cell_angle_alpha 90.00
_cell_angle_beta 90.00
_cell_angle_gamma 90.00
_symmetry_space_group_name_H-M 'I m -3 m'
_symmetry_Int_Tables_number 229
_symmetry_space_group_name_Hall '-I 4 2 3'
loop_
_atom_site_label
_atom_site_type_symbol
_atom_site_fract_x
_atom_site_fract_y
_atom_site_fract_z
Tb1 Tb 0.0000 0.2457 0.2457
Pr1 Pr 0.0000 0.0000 0.5000
Pr2 Pr 0.2500 0.2500 0.2500
Ho1 Ho 0.0000 0.0000 0.0000
```


*Q*
Material: Tb12Pr7Ho
Method: DFT, PBE-GGA
State: relaxed

Results
- Calculated volume: 34.403 Å³ per atom
- Total moment: 0.000 μB/atom

```
data_Tb12Pr7Ho
_chemical_formula_sum 'Tb36 Pr21 Ho3'
_cell_length_a 12.0840
_cell_length_b 12.0840
_cell_length_c 16.3227
_cell_angle_alpha 90.00
_cell_angle_beta 90.00
_cell_angle_gamma 120.00
_symmetry_space_group_name_H-M 'R -3'
_symmetry_Int_Tables_number 148
_symmetry_space_group_name_Hall '-R 3'
loop_
_atom_site_label
_atom_site_type_symbol
_atom_site_fract_x
_atom_site_fract_y
_atom_site_fract_z
Tb1 Tb 0.0275 0.5776 0.2225
Tb2 Tb 0.0527 0.4668 0.5826
Pr1 Pr 0.0000 0.0000 0.0000
Pr2 Pr 0.0568 0.8699 0.2882
Ho1 Ho 0.0000 0.0000 0.5000
```


Least stable structure: *P*